No. 1
First-principles (PBE) data for a geometry-optimized Rb5Ce3Cl12 structure, as listed in the Alexandria database.

abc: 18.8561 18.8561 18.8561
angles: 90.00 90.00 90.00
With the nearest neighbours (Å) after each atom.
Space group Ia-3d (No. 230)
Inequivalent atoms, fractional coordinates:
Rb (0.0000, 0.0000, 0.0000) [16 per cell]  6 Cl 3.25
Rb (0.0000, 0.2500, 0.3750) [24 per cell]  4 Cl 3.39
Ce (0.0000, 0.2500, 0.1250) [24 per cell]  4 Cl 2.71
Cl (0.0234, 0.0521, 0.3373) [96 per cell]  1 Ce 2.71

Values from the calculation:
The formation energy from raw total energies comes out at -1.892 eV/atom. As for the theoretical density: 2.5 g/cm3. The calculation puts the density of states at the Fermi level at 1.26 states/eV/atom. The volume comes out at 41.90 A^3/atom.



No. 2
First-principles (PBE) data for a geometry-optimized Li2RhCl structure, as listed in the Alexandria database.

abc: 3.1554 3.1965 5.5321
angles: 90.00 90.00 90.00
With the nearest neighbours (Å) after each atom.
Space group Pmmm (No. 47)
Inequivalent atoms, fractional coordinates:
Li (0.0000, 0.0000, 0.2486) [2 per cell]  4 Cl 2.63, 4 Rh 2.64, 2 Li 2.75-2.78
Rh (0.5000, 0.5000, 0.5000) [1 per cell]  8 Li 2.64, 2 Cl 2.77
Cl (0.5000, 0.5000, 0.0000) [1 per cell]  8 Li 2.63, 2 Rh 2.77

Values from the calculation:
The formation energy from raw total energies comes out at -0.508 eV/atom. As for the theoretical density: 4.5 g/cm3. The calculation puts the density of states at the Fermi level at 0.66 states/eV/atom. The volume comes out at 13.95 A^3/atom.



No. 3
First-principles (PBE) data for a geometry-optimized CrHgW2 structure, as listed in the Alexandria database.

abc: 3.8125 3.8125 19.8310
angles: 90.00 90.00 90.00
With the nearest neighbours (Å) after each atom.
Space group I-42d (No. 122)
Inequivalent atoms, fractional coordinates:
Cr (0.0000, 0.0000, 0.0000) [4 per cell]  4 Hg 2.70, 4 W 2.80
Hg (0.0000, 0.0000, 0.5000) [4 per cell]  4 Cr 2.70, 4 W 2.84
W (0.2357, 0.2500, 0.1250) [8 per cell]  4 W 2.62-2.77, 2 Cr 2.80, 2 Hg 2.84

Values from the calculation:
The value obtained for the total DFT energy (no corrections) is -126.07 eV per cell. As for the theoretical density: 14.3 g/cm3. The calculation puts the density of states at the Fermi level at 0.76 states/eV/atom. The volume comes out at 18.01 A^3/atom.



> Among the records above, which one has the lowest theoretical density?

Rb5Ce3Cl12



> Among the records above, which one has the highest theoretical density?

CrHgW2



What did the first record say?
First-principles (PBE) data for a geometry-optimized Rb5Ce3Cl12 structure, as listed in the Alexandria database.

abc: 18.8561 18.8561 18.8561
angles: 90.00 90.00 90.00
With the nearest neighbours (Å) after each atom.
Space group Ia-3d (No. 230)
Inequivalent atoms, fractional coordinates:
Rb (0.0000, 0.0000, 0.0000) [16 per cell]  6 Cl 3.25
Rb (0.0000, 0.2500, 0.3750) [24 per cell]  4 Cl 3.39
Ce (0.0000, 0.2500, 0.1250) [24 per cell]  4 Cl 2.71
Cl (0.0234, 0.0521, 0.3373) [96 per cell]  1 Ce 2.71

Values from the calculation:
The formation energy from raw total energies comes out at -1.892 eV/atom. As for the theoretical density: 2.5 g/cm3. The calculation puts the density of states at the Fermi level at 1.26 states/eV/atom. The volume comes out at 41.90 A^3/atom.